# 1
First-principles (meta-GGA SCAN) data for a PBEsol-optimized structure of LaZrFe2, as listed in Alexandria.

Geometry as CIF:
```
data_LaZrFe2
_symmetry_space_group_name_H-M 'P 4/m m m'
_symmetry_Int_Tables_number 123
_symmetry_space_group_name_Hall '-P 4 2'
_cell_length_a 4.671
_cell_length_b 4.671
_cell_length_c 3.237
_cell_angle_alpha 90.00
_cell_angle_beta 90.00
_cell_angle_gamma 90.00
loop_
_atom_site_label
_atom_site_type_symbol
_atom_site_fract_x
_atom_site_fract_y
_atom_site_fract_z
_atom_site_occupancy
La1 La 0.000 0.000 0.000 1
Zr1 Zr 0.500 0.500 0.000 1
Fe1 Fe 0.000 0.500 0.500 1
```

Calculated values
DFT formation energy	0.248	eV per atom

=====

# 2
First-principles (meta-GGA SCAN) data for a PBEsol-optimized structure of K3BeOs, as listed in Alexandria.

Geometry as CIF:
```
data_K3BeOs
_symmetry_space_group_name_H-M 'P m -3 m'
_symmetry_Int_Tables_number 221
_symmetry_space_group_name_Hall '-P 4 2 3'
_cell_length_a 6.034
_cell_length_b 6.034
_cell_length_c 6.034
_cell_angle_alpha 90.00
_cell_angle_beta 90.00
_cell_angle_gamma 90.00
loop_
_atom_site_label
_atom_site_type_symbol
_atom_site_fract_x
_atom_site_fract_y
_atom_site_fract_z
_atom_site_occupancy
K1 K 0.000 0.000 0.500 1
Be1 Be 0.500 0.500 0.500 1
Os1 Os 0.000 0.000 0.000 1
```

Calculated values
DFT formation energy	1.638	eV per atom

=====

# 3
First-principles (meta-GGA SCAN) data for a PBEsol-optimized structure of V3B2, as listed in Alexandria.

Geometry as CIF:
```
data_V3B2
_symmetry_space_group_name_H-M 'P 4/m b m'
_symmetry_Int_Tables_number 127
_symmetry_space_group_name_Hall '-P 4 2ab'
_cell_length_a 5.671
_cell_length_b 5.671
_cell_length_c 2.980
_cell_angle_alpha 90.00
_cell_angle_beta 90.00
_cell_angle_gamma 90.00
loop_
_atom_site_label
_atom_site_type_symbol
_atom_site_fract_x
_atom_site_fract_y
_atom_site_fract_z
_atom_site_occupancy
V1 V 0.000 0.000 0.000 1
V2 V 0.179 0.321 0.500 1
B1 B 0.111 0.611 0.000 1
```

Calculated values
DFT formation energy	-0.773	eV per atom

=====

# 4
First-principles (meta-GGA SCAN) data for a PBEsol-optimized structure of CuRh2Au, as listed in Alexandria.

Geometry as CIF:
```
data_CuRh2Au
_symmetry_space_group_name_H-M 'C 1 m 1'
_symmetry_Int_Tables_number 8
_cell_length_a 8.818
_cell_length_b 2.743
_cell_length_c 4.706
_cell_angle_alpha 90.00
_cell_angle_beta 100.68
_cell_angle_gamma 90.00
loop_
_symmetry_equiv_pos_as_xyz
'x,y,z'
'x,-y,z'
'x+1/2,y+1/2,z'
'x+1/2,-y+1/2,z'
loop_
_atom_site_label
_atom_site_type_symbol
_atom_site_fract_x
_atom_site_fract_y
_atom_site_fract_z
_atom_site_occupancy
Cu1 Cu 0.000 0.000 0.000 1
Rh1 Rh 0.247 0.500 0.280 1
Rh2 Rh 0.492 0.000 0.476 1
Au1 Au 0.249 0.000 0.780 1
```

Calculated values
DFT formation energy	0.100	eV per atom
energy above the most stable polymorph in this dataset	0.059	eV/atom

=====

# 5
First-principles (meta-GGA SCAN) data for a PBEsol-optimized structure of Er5Sb3, as listed in Alexandria.

Geometry as CIF:
```
data_Er5Sb3
_symmetry_space_group_name_H-M 'P 63/m c m'
_symmetry_Int_Tables_number 193
_symmetry_space_group_name_Hall '-P 6c 2'
_cell_length_a 8.7732
_cell_length_b 8.7732
_cell_length_c 6.1323
_cell_angle_alpha 90.00
_cell_angle_beta 90.00
_cell_angle_gamma 120.00
loop_
_atom_site_label
_atom_site_type_symbol
_atom_site_fract_x
_atom_site_fract_y
_atom_site_fract_z
_atom_site_occupancy
Er1 Er 0.0000 0.2461 0.2500 1
Er2 Er 0.3333 0.6667 0.0000 1
Sb1 Sb 0.0000 0.3899 0.7500 1
```

Calculated values
uncorrected formation energy	-969	meV per atom
energy above the most stable polymorph in this dataset	0.000	eV/atom

=====

# 6
First-principles (meta-GGA SCAN) data for a PBEsol-optimized structure of CdOs2Br, as listed in Alexandria.

Geometry as CIF:
```
data_CdOs2Br
_symmetry_space_group_name_H-M 'P 4 m m'
_symmetry_Int_Tables_number 99
_cell_length_a 2.922
_cell_length_b 2.922
_cell_length_c 8.231
_cell_angle_alpha 90.00
_cell_angle_beta 90.00
_cell_angle_gamma 90.00
loop_
_symmetry_equiv_pos_as_xyz
'x,y,z'
'-y,x,z'
'-x,-y,z'
'y,-x,z'
'-x,y,z'
'y,x,z'
'x,-y,z'
'-y,-x,z'
loop_
_atom_site_label
_atom_site_type_symbol
_atom_site_fract_x
_atom_site_fract_y
_atom_site_fract_z
_atom_site_occupancy
Cd1 Cd 0.000 0.000 0.000 1
Os1 Os 0.000 0.000 0.434 1
Os2 Os 0.500 0.500 0.243 1
Br1 Br 0.500 0.500 0.668 1
```

Calculated values
uncorrected formation energy	586	meV per atom
energy above the most stable polymorph in this dataset	0.000	eV/atom

=====

no.,N(E_F) (states/eV/cell)
1,3.4
2,4.1
3,3.6
4,9.2
5,13.1
6,2.1